An optimized crystal structure of Ce6Hg5Bi. Source: Alexandria via LeMat-Bulk, functional PBE-GGA.

Values from the calculation:
N(E_F) (states/eV per cell): 45.584

abc: 5.565 9.565 9.565
angles: 122.46 106.90 106.90
Fractional positions:
Ce 0.249 0.082 0.416
Ce 0.751 0.918 0.584
Ce 0.251 0.751 0.751
Ce 0.751 0.584 0.918
Ce 0.749 0.249 0.249
Ce 0.249 0.416 0.082
Hg 0.500 0.173 0.827
Hg 0.000 0.334 0.666
Hg 0.000 0.666 0.334
Hg 0.500 0.827 0.173
Hg 0.500 0.500 0.500
Bi 0.000 0.000 0.000

***

An optimized crystal structure of Ce8Hg3Bi2. Source: Alexandria via LeMat-Bulk, functional PBE-GGA.

Values from the calculation:
N(E_F) (states/eV per cell): 31.563

abc: 6.159 9.309 8.494
angles: 123.23 75.23 90.00
Fractional positions:
Ce 0.559 0.588 0.790
Ce 0.052 0.833 0.665
Ce 0.441 0.798 0.210
Ce 0.441 0.412 0.210
Ce 0.559 0.202 0.790
Ce 0.948 0.167 0.335
Ce 0.891 0.372 0.743
Ce 0.109 0.628 0.257
Bi 0.592 0.765 0.531
Bi 0.408 0.235 0.469
Hg 0.500 0.000 0.000
Hg 0.000 0.760 0.000
Hg 0.000 0.240 0.000

***

An optimized crystal structure of Ce8Hg2Bi. Source: Alexandria via LeMat-Bulk, functional PBE-GGA.

Values from the calculation:
N(E_F) (states/eV per cell): 36.013

abc: 5.694 8.533 8.275
angles: 58.96 80.09 70.50
Fractional positions:
Ce 0.657 0.590 0.000
Ce 0.500 0.236 0.528
Ce 0.914 0.277 0.805
Ce 0.086 0.723 0.195
Ce 0.500 0.764 0.472
Ce 0.914 0.082 0.195
Ce 0.343 0.410 0.000
Ce 0.086 0.918 0.805
Bi 0.500 0.000 0.000
Hg 0.000 0.310 0.379
Hg 0.000 0.690 0.621

***

An optimized crystal structure of Ce4Hg6Bi7. Source: Alexandria via LeMat-Bulk, functional PBE-GGA.

Values from the calculation:
N(E_F) (states/eV per cell): 30.738

abc: 8.636 8.636 8.636
angles: 109.47 109.47 109.47
Fractional positions:
Hg 0.000 0.300 0.300
Hg 0.700 0.700 0.000
Hg 0.700 0.000 0.700
Hg 0.300 0.000 0.300
Hg 0.300 0.300 0.000
Hg 0.000 0.700 0.700
Ce 0.000 0.000 0.500
Ce 0.000 0.500 0.000
Ce 0.500 0.500 0.500
Ce 0.500 0.000 0.000
Bi 0.250 0.750 0.500
Bi 0.750 0.500 0.250
Bi 0.500 0.750 0.250
Bi 0.250 0.500 0.750
Bi 0.000 0.000 0.000
Bi 0.750 0.250 0.500
Bi 0.500 0.250 0.750

***

An optimized crystal structure of Ce3HgBi3. Source: Alexandria via LeMat-Bulk, functional PBE-GGA.

Values from the calculation:
N(E_F) (states/eV per cell): 43.070

abc: 6.449 9.805 9.805
angles: 120.00 90.00 90.00
Fractional positions:
Ce 0.750 0.331 0.988
Ce 0.750 0.657 0.669
Ce 0.250 0.669 0.012
Ce 0.250 0.988 0.657
Ce 0.750 0.012 0.343
Ce 0.250 0.343 0.331
Bi 0.750 0.682 0.019
Bi 0.750 0.338 0.318
Bi 0.250 0.662 0.682
Bi 0.250 0.019 0.338
Bi 0.750 0.981 0.662
Bi 0.250 0.318 0.981
Hg 0.250 0.667 0.333
Hg 0.750 0.333 0.667

***

An optimized crystal structure of Ce4Hg3Bi. Source: Alexandria via LeMat-Bulk, functional PBE-GGA.

Values from the calculation:
N(E_F) (states/eV per cell): 59.919

abc: 5.667 7.153 11.293
angles: 90.00 90.00 90.00
Fractional positions:
Hg 0.000 0.000 0.500
Hg 0.000 0.000 0.000
Hg 0.540 0.000 0.750
Hg 0.470 0.500 0.250
Hg 0.460 0.000 0.250
Hg 0.530 0.500 0.750
Ce 0.966 0.248 0.250
Ce 0.500 0.752 0.000
Ce 0.034 0.752 0.750
Ce 0.500 0.248 0.000
Ce 0.500 0.752 0.500
Ce 0.034 0.248 0.750
Ce 0.966 0.752 0.250
Ce 0.500 0.248 0.500
Bi 0.000 0.500 0.500
Bi 0.000 0.500 0.000

***

An optimized crystal structure of Ce5HgBi4. Source: Alexandria via LeMat-Bulk, functional PBE-GGA.

Values from the calculation:
N(E_F) (states/eV per cell): 36.368

abc: 6.483 7.934 7.934
angles: 80.39 65.89 65.89
Fractional positions:
Ce 0.302 0.801 0.598
Ce 0.701 0.199 0.402
Ce 0.501 0.000 0.000
Ce 0.899 0.402 0.801
Ce 0.103 0.598 0.199
Bi 0.200 0.202 0.400
Bi 0.802 0.798 0.600
Bi 0.600 0.600 0.202
Bi 0.402 0.400 0.798
Hg 0.001 0.000 0.000

***

An optimized crystal structure of Ce5HgBi3. Source: Alexandria via LeMat-Bulk, functional PBE-GGA.

Values from the calculation:
N(E_F) (states/eV per cell): 58.693

abc: 6.575 9.695 9.695
angles: 120.00 90.00 90.00
Fractional positions:
Hg 0.500 0.000 0.000
Hg 0.000 0.000 0.000
Ce 0.000 0.667 0.333
Ce 0.250 0.000 0.719
Ce 0.750 0.000 0.281
Ce 0.250 0.720 0.000
Ce 0.500 0.333 0.667
Ce 0.750 0.280 0.000
Ce 0.250 0.281 0.281
Ce 0.750 0.719 0.719
Ce 0.500 0.667 0.333
Ce 0.000 0.333 0.667
Bi 0.250 0.375 0.000
Bi 0.250 0.000 0.375
Bi 0.750 0.625 0.000
Bi 0.750 0.000 0.625
Bi 0.250 0.625 0.625
Bi 0.750 0.375 0.375

***

An optimized crystal structure of Ce3Hg5Bi. Source: Alexandria via LeMat-Bulk, functional PBE-GGA.

Values from the calculation:
N(E_F) (states/eV per cell): 45.406

abc: 6.630 9.223 9.223
angles: 120.00 90.00 90.00
Fractional positions:
Hg 0.750 0.356 0.000
Hg 0.250 0.357 0.356
Hg 0.500 0.667 0.333
Hg 0.750 0.000 0.356
Hg 0.000 0.333 0.667
Hg 0.750 0.643 0.644
Hg 0.250 0.000 0.644
Hg 0.000 0.667 0.333
Hg 0.500 0.333 0.667
Hg 0.250 0.644 0.000
Bi 0.000 0.000 0.000
Bi 0.500 0.000 0.000
Ce 0.250 0.686 0.686
Ce 0.750 0.000 0.686
Ce 0.250 0.000 0.314
Ce 0.750 0.314 0.314
Ce 0.750 0.686 0.000
Ce 0.250 0.314 0.000

***

An optimized crystal structure of CeHgBi. Source: Alexandria via LeMat-Bulk, functional PBE-GGA.

Values from the calculation:
N(E_F) (states/eV per cell): 27.500

abc: 4.645 6.934 10.859
angles: 90.00 90.00 90.00
Fractional positions:
Hg 0.750 0.341 0.577
Hg 0.250 0.659 0.423
Hg 0.250 0.159 0.077
Hg 0.750 0.841 0.923
Bi 0.250 0.581 0.767
Bi 0.250 0.081 0.733
Bi 0.750 0.419 0.233
Bi 0.750 0.919 0.267
Ce 0.250 0.183 0.396
Ce 0.750 0.317 0.896
Ce 0.250 0.683 0.104
Ce 0.750 0.817 0.604

***

An optimized crystal structure of Ce6HgBi5. Source: Alexandria via LeMat-Bulk, functional PBE-GGA.

Values from the calculation:
N(E_F) (states/eV per cell): 44.196

abc: 7.990 7.915 7.919
angles: 60.02 80.50 70.72
Fractional positions:
Bi 0.500 0.167 0.666
Bi 0.000 0.334 0.333
Bi 0.000 0.666 0.667
Bi 0.500 0.833 0.334
Bi 0.500 0.500 0.000
Ce 0.748 0.749 0.000
Ce 0.750 0.420 0.664
Ce 0.750 0.084 0.336
Ce 0.252 0.251 0.000
Ce 0.250 0.916 0.664
Ce 0.250 0.580 0.336
Hg 0.000 0.000 0.000

***

An optimized crystal structure of Ce2Hg5Bi. Source: Alexandria via LeMat-Bulk, functional PBE-GGA.

Values from the calculation:
N(E_F) (states/eV per cell): 35.669

abc: 4.608 6.844 13.644
angles: 90.00 90.00 90.00
Fractional positions:
Bi 0.000 0.500 0.000
Bi 0.000 0.000 0.500
Hg 0.000 0.969 0.753
Hg 0.500 0.720 0.635
Hg 0.000 0.031 0.247
Hg 0.500 0.280 0.365
Hg 0.000 0.469 0.747
Hg 0.000 0.531 0.253
Hg 0.500 0.780 0.135
Hg 0.000 0.500 0.500
Hg 0.000 0.000 0.000
Hg 0.500 0.220 0.865
Ce 0.500 0.270 0.119
Ce 0.500 0.230 0.619
Ce 0.500 0.730 0.881
Ce 0.500 0.770 0.381

***

no.,ΔE_f (meV/atom)
1,-344.6
2,-187.1
3,-142.6
4,-321.1
5,-471.8
6,-371.1
7,-615.0
8,-620.4
9,-372.9
10,-460.4
11,-644.9
12,-344.2